This record from Alexandria describes a relaxed PuMn2NiO6 crystal. The functional is PBE with a Hubbard U.

Properties
**Space-group type**: P2_1/c, No. 14
**E_tot**: -0.29376 hartree per atom
**Crystal system**: monoclinic
**Magnetic moment**: 12.00 μB per formula unit

Cell lengths 5.1615, 5.5500, 9.2708 Å; angles 90.00, 84.12, 90.00 degrees
Fractional coordinates of all 20 atoms:
Pu1 0.5000 0.0000 0.5000
Pu2 0.0000 0.5000 0.0000
Mn1 0.0957 0.0027 0.2583
Mn2 0.5957 0.4973 0.7583
Mn3 0.9043 0.9973 0.7417
Mn4 0.4043 0.5027 0.2417
Ni1 0.5000 0.0000 0.0000
Ni2 0.0000 0.5000 0.5000
O1 0.2588 0.7640 0.0947
O2 0.7588 0.7360 0.5947
O3 0.7412 0.2360 0.9053
O4 0.2412 0.2640 0.4053
O5 0.2392 0.7393 0.4064
O6 0.7392 0.7607 0.9064
O7 0.7608 0.2607 0.5936
O8 0.2608 0.2393 0.0936
O9 0.7967 0.4981 0.1851
O10 0.2967 0.0019 0.6851
O11 0.2033 0.5019 0.8149
O12 0.7033 0.9981 0.3149